#w
The following is a PBE-GGA calculation of a relaxed ThBiSbAu crystal, from Alexandria via LeMat-Bulk.

a b c (Å): 4.334 4.816 12.880
angles (deg): 90.00 90.00 90.00
Fractional coordinates of all 8 atoms:
Th 0.000 0.000 0.000
Th 0.500 0.500 0.500
Bi 0.000 0.000 0.551
Bi 0.500 0.500 0.051
Sb 0.000 0.000 0.241
Sb 0.500 0.500 0.741
Au 0.000 0.500 0.864
Au 0.500 0.000 0.364

***

#x
The following is a PBE-GGA calculation of a relaxed ThBiSbAu crystal, from Alexandria via LeMat-Bulk.

a b c (Å): 7.568 7.568 7.568
angles (deg): 90.00 90.00 90.00
Fractional coordinates of all 16 atoms:
Th 0.000 0.000 0.000
Th 0.000 0.500 0.500
Th 0.500 0.000 0.500
Th 0.500 0.500 0.000
Bi 0.000 0.000 0.500
Bi 0.000 0.500 0.000
Bi 0.500 0.000 0.000
Bi 0.500 0.500 0.500
Sb 0.250 0.250 0.250
Sb 0.250 0.750 0.750
Sb 0.750 0.250 0.750
Sb 0.750 0.750 0.250
Au 0.250 0.250 0.750
Au 0.250 0.750 0.250
Au 0.750 0.250 0.250
Au 0.750 0.750 0.750

***

Of them, #w has the lowest stability.

***

#w
The following is a PBE-GGA calculation of a relaxed ScBiAu4 crystal, from Alexandria via LeMat-Bulk.

a b c (Å): 5.631 5.631 5.631
angles (deg): 60.00 60.00 60.00
Fractional coordinates of all 6 atoms:
Sc 0.000 0.000 0.000
Bi 0.750 0.750 0.750
Au 0.375 0.375 0.375
Au 0.375 0.375 0.876
Au 0.375 0.876 0.375
Au 0.876 0.375 0.375

***

#x
The following is a PBE-GGA calculation of a relaxed ScBiAu4 crystal, from Alexandria via LeMat-Bulk.

a b c (Å): 4.830 4.830 6.174
angles (deg): 90.00 90.00 120.00
Fractional coordinates of all 6 atoms:
Sc 0.000 0.000 0.000
Bi 0.000 0.000 0.500
Au 0.333 0.667 0.232
Au 0.333 0.667 0.768
Au 0.667 0.333 0.232
Au 0.667 0.333 0.768

***

Of them, #w has the lowest stability.

***

#w
The following is a PBE-GGA calculation of a relaxed ScBi2Au2 crystal, from Alexandria via LeMat-Bulk.

a b c (Å): 8.071 8.071 3.829
angles (deg): 90.00 90.00 90.00
Fractional coordinates of all 10 atoms:
Sc 0.000 0.000 0.000
Sc 0.500 0.500 0.000
Bi 0.167 0.333 0.000
Bi 0.333 0.833 0.000
Bi 0.667 0.167 0.000
Bi 0.833 0.667 0.000
Au 0.135 0.635 0.500
Au 0.365 0.135 0.500
Au 0.635 0.865 0.500
Au 0.865 0.365 0.500

***

#x
The following is a PBE-GGA calculation of a relaxed ScBi2Au2 crystal, from Alexandria via LeMat-Bulk.

a b c (Å): 7.556 7.556 4.269
angles (deg): 90.00 90.00 90.00
Fractional coordinates of all 10 atoms:
Sc 0.000 0.000 0.000
Sc 0.500 0.500 0.000
Bi 0.180 0.320 0.500
Bi 0.320 0.820 0.500
Bi 0.680 0.180 0.500
Bi 0.820 0.680 0.500
Au 0.130 0.630 0.000
Au 0.370 0.130 0.000
Au 0.630 0.870 0.000
Au 0.870 0.370 0.000

***

Of them, #w has the lowest stability.

***

#w
The following is a PBE-GGA calculation of a relaxed BiAu3Se crystal, from Alexandria via LeMat-Bulk.

a b c (Å): 5.392 5.392 5.392
angles (deg): 90.00 90.00 90.00
Fractional coordinates of all 5 atoms:
Bi 0.000 0.000 0.000
Au 0.000 0.000 0.500
Au 0.000 0.500 0.000
Au 0.500 0.000 0.000
Se 0.500 0.500 0.500

***

#x
The following is a PBE-GGA calculation of a relaxed BiAu3Se crystal, from Alexandria via LeMat-Bulk.

a b c (Å): 5.045 5.045 5.045
angles (deg): 90.00 90.00 90.00
Fractional coordinates of all 5 atoms:
Bi 0.000 0.000 0.000
Au 0.000 0.500 0.500
Au 0.500 0.000 0.500
Au 0.500 0.500 0.000
Se 0.500 0.500 0.500

***

Of them, #w has the lowest stability.

***

#w
The following is a PBE-GGA calculation of a relaxed Bi2Au2Se crystal, from Alexandria via LeMat-Bulk.

a b c (Å): 7.717 7.717 4.106
angles (deg): 90.00 90.00 90.00
Fractional coordinates of all 10 atoms:
Bi 0.168 0.332 0.000
Bi 0.332 0.832 0.000
Bi 0.668 0.168 0.000
Bi 0.832 0.668 0.000
Au 0.132 0.632 0.500
Au 0.368 0.132 0.500
Au 0.632 0.868 0.500
Au 0.868 0.368 0.500
Se 0.000 0.000 0.500
Se 0.500 0.500 0.500

***

#x
The following is a PBE-GGA calculation of a relaxed Bi2Au2Se crystal, from Alexandria via LeMat-Bulk.

a b c (Å): 8.209 8.209 3.848
angles (deg): 90.00 90.00 90.00
Fractional coordinates of all 10 atoms:
Bi 0.194 0.306 0.000
Bi 0.306 0.806 0.000
Bi 0.694 0.194 0.000
Bi 0.806 0.694 0.000
Au 0.119 0.619 0.500
Au 0.381 0.119 0.500
Au 0.619 0.881 0.500
Au 0.881 0.381 0.500
Se 0.000 0.000 0.000
Se 0.500 0.500 0.000

***

Of them, #w has the lowest stability.

***

#w
The following is a PBE-GGA calculation of a relaxed BiAuSe3 crystal, from Alexandria via LeMat-Bulk.

a b c (Å): 5.082 5.082 5.082
angles (deg): 90.00 90.00 90.00
Fractional coordinates of all 5 atoms:
Bi 0.000 0.000 0.000
Au 0.500 0.500 0.500
Se 0.000 0.500 0.500
Se 0.500 0.000 0.500
Se 0.500 0.500 0.000

***

#x
The following is a PBE-GGA calculation of a relaxed BiAuSe3 crystal, from Alexandria via LeMat-Bulk.

a b c (Å): 8.660 8.660 7.666
angles (deg): 107.77 107.77 35.85
Fractional coordinates of all 10 atoms:
Bi 0.152 0.152 0.326
Bi 0.848 0.848 0.674
Au 0.336 0.336 0.062
Au 0.664 0.664 0.938
Se 0.174 0.174 0.970
Se 0.326 0.326 0.493
Se 0.496 0.496 0.152
Se 0.504 0.504 0.848
Se 0.674 0.674 0.507
Se 0.826 0.826 0.030

***

Of them, #w has the lowest stability.

***

#w
The following is a PBE-GGA calculation of a relaxed SiBi2Au2 crystal, from Alexandria via LeMat-Bulk.

a b c (Å): 6.647 6.647 5.461
angles (deg): 90.00 90.00 90.00
Fractional coordinates of all 10 atoms:
Si 0.000 0.000 0.000
Si 0.500 0.500 0.000
Bi 0.203 0.297 0.500
Bi 0.297 0.797 0.500
Bi 0.703 0.203 0.500
Bi 0.797 0.703 0.500
Au 0.157 0.657 0.000
Au 0.343 0.157 0.000
Au 0.657 0.843 0.000
Au 0.843 0.343 0.000

***

#x
The following is a PBE-GGA calculation of a relaxed SiBi2Au2 crystal, from Alexandria via LeMat-Bulk.

a b c (Å): 3.845 3.845 16.649
angles (deg): 90.00 90.00 90.00
Fractional coordinates of all 10 atoms:
Si 0.000 0.000 0.000
Si 0.500 0.500 0.500
Bi 0.000 0.000 0.401
Bi 0.000 0.000 0.599
Bi 0.500 0.500 0.099
Bi 0.500 0.500 0.901
Au 0.000 0.500 0.250
Au 0.000 0.500 0.750
Au 0.500 0.000 0.250
Au 0.500 0.000 0.750

***

#y
The following is a PBE-GGA calculation of a relaxed SiBi2Au2 crystal, from Alexandria via LeMat-Bulk.

a b c (Å): 8.040 8.040 3.883
angles (deg): 90.00 90.00 90.00
Fractional coordinates of all 10 atoms:
Si 0.000 0.000 0.000
Si 0.500 0.500 0.000
Bi 0.183 0.317 0.000
Bi 0.317 0.817 0.000
Bi 0.683 0.183 0.000
Bi 0.817 0.683 0.000
Au 0.123 0.623 0.500
Au 0.377 0.123 0.500
Au 0.623 0.877 0.500
Au 0.877 0.377 0.500

***

Of them, #y has the lowest stability.

***

#w
The following is a PBE-GGA calculation of a relaxed Si2SnBiAu crystal, from Alexandria via LeMat-Bulk.

a b c (Å): 5.300 5.300 6.045
angles (deg): 90.00 90.00 90.00
Fractional coordinates of all 5 atoms:
Si 0.000 0.500 0.000
Si 0.500 0.000 0.000
Sn 0.000 0.000 0.500
Bi 0.000 0.000 0.000
Au 0.500 0.500 0.500

***

#x
The following is a PBE-GGA calculation of a relaxed Si2SnBiAu crystal, from Alexandria via LeMat-Bulk.

a b c (Å): 5.431 5.431 5.299
angles (deg): 90.00 90.00 90.00
Fractional coordinates of all 5 atoms:
Si 0.000 0.500 0.000
Si 0.500 0.000 0.000
Sn 0.000 0.000 0.500
Bi 0.500 0.500 0.000
Au 0.500 0.500 0.500

***

Of them, #w has the lowest stability.

***

#w
The following is a PBE-GGA calculation of a relaxed SmBiAu4 crystal, from Alexandria via LeMat-Bulk.

a b c (Å): 5.719 5.719 5.719
angles (deg): 60.00 60.00 60.00
Fractional coordinates of all 6 atoms:
Sm 0.000 0.000 0.000
Bi 0.750 0.750 0.750
Au 0.375 0.375 0.375
Au 0.375 0.375 0.876
Au 0.375 0.876 0.375
Au 0.876 0.375 0.375

***

#x
The following is a PBE-GGA calculation of a relaxed SmBiAu4 crystal, from Alexandria via LeMat-Bulk.

a b c (Å): 4.890 4.890 6.486
angles (deg): 90.00 90.00 120.00
Fractional coordinates of all 6 atoms:
Sm 0.000 0.000 0.000
Bi 0.000 0.000 0.500
Au 0.333 0.667 0.239
Au 0.333 0.667 0.761
Au 0.667 0.333 0.239
Au 0.667 0.333 0.761

***

Of them, #w has the lowest stability.

***

#w
The following is a PBE-GGA calculation of a relaxed Sn2BiAu2 crystal, from Alexandria via LeMat-Bulk.

a b c (Å): 8.047 8.047 3.770
angles (deg): 90.00 90.00 90.00
Fractional coordinates of all 10 atoms:
Sn 0.162 0.338 0.000
Sn 0.338 0.838 0.000
Sn 0.662 0.162 0.000
Sn 0.838 0.662 0.000
Bi 0.000 0.000 0.500
Bi 0.500 0.500 0.500
Au 0.134 0.634 0.500
Au 0.366 0.134 0.500
Au 0.634 0.866 0.500
Au 0.866 0.366 0.500

***

#x
The following is a PBE-GGA calculation of a relaxed Sn2BiAu2 crystal, from Alexandria via LeMat-Bulk.

a b c (Å): 8.541 8.541 3.404
angles (deg): 90.00 90.00 90.00
Fractional coordinates of all 10 atoms:
Sn 0.179 0.321 0.000
Sn 0.321 0.821 0.000
Sn 0.679 0.179 0.000
Sn 0.821 0.679 0.000
Bi 0.000 0.000 0.000
Bi 0.500 0.500 0.000
Au 0.119 0.619 0.500
Au 0.381 0.119 0.500
Au 0.619 0.881 0.500
Au 0.881 0.381 0.500

***

#y
The following is a PBE-GGA calculation of a relaxed Sn2BiAu2 crystal, from Alexandria via LeMat-Bulk.

a b c (Å): 6.972 6.290 6.229
angles (deg): 90.00 111.09 90.00
Fractional coordinates of all 10 atoms:
Sn 0.000 0.246 0.000
Sn 0.000 0.754 0.000
Sn 0.500 0.254 0.000
Sn 0.500 0.746 0.000
Bi 0.000 0.500 0.500
Bi 0.500 0.000 0.500
Au 0.164 0.000 0.705
Au 0.336 0.500 0.295
Au 0.664 0.500 0.705
Au 0.836 0.000 0.295

***

Of them, #x has the lowest stability.

***

#w
The following is a PBE-GGA calculation of a relaxed Sn2BiAu2 crystal, from Alexandria via LeMat-Bulk.

a b c (Å): 4.005 4.005 15.880
angles (deg): 90.00 90.00 90.00
Fractional coordinates of all 10 atoms:
Sn 0.000 0.000 0.111
Sn 0.000 0.000 0.889
Sn 0.500 0.500 0.389
Sn 0.500 0.500 0.611
Bi 0.000 0.000 0.500
Bi 0.500 0.500 0.000
Au 0.000 0.500 0.250
Au 0.000 0.500 0.750
Au 0.500 0.000 0.250
Au 0.500 0.000 0.750

***

#x
The following is a PBE-GGA calculation of a relaxed Sn2BiAu2 crystal, from Alexandria via LeMat-Bulk.

a b c (Å): 4.458 4.458 12.722
angles (deg): 90.00 90.00 90.00
Fractional coordinates of all 10 atoms:
Sn 0.000 0.500 0.250
Sn 0.000 0.500 0.750
Sn 0.500 0.000 0.250
Sn 0.500 0.000 0.750
Bi 0.000 0.000 0.000
Bi 0.500 0.500 0.500
Au 0.000 0.000 0.394
Au 0.000 0.000 0.606
Au 0.500 0.500 0.106
Au 0.500 0.500 0.894

***

Of them, #w has the lowest stability.

***

#w
The following is a PBE-GGA calculation of a relaxed SnBiAu6 crystal, from Alexandria via LeMat-Bulk.

a b c (Å): 5.502 5.502 5.502
angles (deg): 90.00 90.00 90.00
Fractional coordinates of all 8 atoms:
Sn 0.000 0.000 0.000
Bi 0.500 0.500 0.500
Au 0.000 0.500 0.248
Au 0.000 0.500 0.752
Au 0.248 0.000 0.500
Au 0.500 0.248 0.000
Au 0.500 0.752 0.000
Au 0.752 0.000 0.500

***

#x
The following is a PBE-GGA calculation of a relaxed SnBiAu6 crystal, from Alexandria via LeMat-Bulk.

a b c (Å): 4.551 6.269 5.848
angles (deg): 90.00 90.00 90.00
Fractional coordinates of all 8 atoms:
Sn 0.000 0.000 0.000
Bi 0.500 0.500 0.750
Au 0.000 0.249 0.528
Au 0.000 0.500 0.108
Au 0.000 0.751 0.528
Au 0.500 0.000 0.657
Au 0.500 0.236 0.210
Au 0.500 0.764 0.210

***

Of them, #w has the lowest stability.